[1]
# PBE-GGA Rb2CuBr3, relaxed
# Uncorrected energy   -3.091 eV/atom
# Raw formation energy   -1.25 eV per atom
# Polymorph energy (0 for the lowest one)   3 meV per atom
data_Rb2CuBr3
_chemical_formula_sum 'Rb8 Cu4 Br12'
_cell_length_a 12.4773
_cell_length_b 8.4090
_cell_length_c 9.2071
_cell_angle_alpha 90.00
_cell_angle_beta 114.18
_cell_angle_gamma 90.00
_symmetry_space_group_name_H-M 'C 1 2/c 1'
_symmetry_Int_Tables_number 15
loop_
_symmetry_equiv_pos_as_xyz
'x,y,z'
'-x,-y,-z'
'-x,y,-z+1/2'
'x,-y,z+1/2'
'x+1/2,y+1/2,z'
'-x+1/2,-y+1/2,-z'
'-x+1/2,y+1/2,-z+1/2'
'x+1/2,-y+1/2,z+1/2'
loop_
_atom_site_label
_atom_site_type_symbol
_atom_site_fract_x
_atom_site_fract_y
_atom_site_fract_z
Rb1 Rb 0.1569 0.1957 0.1621
Cu1 Cu 0.0000 0.3979 0.7500
Br1 Br 0.0000 0.1139 0.7500
Br2 Br 0.1542 0.4575 0.4499

=====

[2]
# PBE-GGA K2ZrFe, relaxed
# Energy of formation   1.13 eV per atom
# Uncorrected energy   -3.670 eV/atom
# Polymorph energy (0 for the lowest one)   578 meV per atom
data_K2ZrFe
_chemical_formula_sum 'K4 Zr2 Fe2'
_cell_length_a 3.2861
_cell_length_b 5.2840
_cell_length_c 12.7571
_cell_angle_alpha 90.00
_cell_angle_beta 90.00
_cell_angle_gamma 90.00
_symmetry_space_group_name_H-M 'C m m m'
_symmetry_Int_Tables_number 65
_symmetry_space_group_name_Hall '-C 2 2'
loop_
_atom_site_label
_atom_site_type_symbol
_atom_site_fract_x
_atom_site_fract_y
_atom_site_fract_z
K1 K 0.0000 0.0000 0.2275
Zr1 Zr 0.0000 0.5000 0.5000
Fe1 Fe 0.0000 0.5000 0.0000